(1)
Compound: Li2MnSb
Source: Alexandria via LeMat-Bulk
Functional: PBEsol
Structure: optimized geometry

a b c (Å): 4.5009 4.5009 4.5009
angles (deg): 90.01 119.99 119.99
Last column: nearest neighbours and their distance in Å.
Fractional positions:
Li 0.0000 0.0000 0.0000  4 Li 2.76, 4 Sb 2.76
Sb 0.5000 0.7500 0.2500  4 Li 2.76, 4 Mn 2.76
Li 0.5000 0.2500 0.7500  4 Mn 2.76, 4 Li 2.76
Mn 0.0000 0.5000 0.5000  4 Sb 2.76, 4 Li 2.76

Properties
ρ (g/cm³): 4.9
Raw formation energy (meV per atom): -177

***

(2)
Compound: Li2MnSb
Source: Alexandria via LeMat-Bulk
Functional: PBEsol
Structure: optimized geometry

a b c (Å): 3.5486 3.5486 5.4610
angles (deg): 90.00 90.00 90.00
Last column: nearest neighbours and their distance in Å.
Fractional positions:
Sb 0.5000 0.5000 0.5000  2 Mn 2.73, 8 Li 2.86
Li 0.0000 0.0000 0.7529  2 Li 2.70-2.76, 4 Mn 2.85, 4 Sb 2.86
Li 0.0000 0.0000 0.2471  2 Li 2.70-2.76, 4 Mn 2.85, 4 Sb 2.86
Mn 0.5000 0.5000 0.0000  2 Sb 2.73, 8 Li 2.85

Properties
ρ (g/cm³): 4.6
Raw formation energy (meV per atom): 96